[1]
The following is a GGA-PBE calculation of CoTeCl after structural relaxation, from Alexandria via LeMat-Bulk. Values from VASP.

- formation energy without anion corrections (eV per atom) = -0.055
- volume (A^3/atom) = 26.09
- magnetization (Bohr magnetons per cell) = 4.924

Quantum ESPRESSO input file:
```
&SYSTEM
  ibrav = 0, nat = 12, ntyp = 3
/
ATOMIC_SPECIES
Co 58.93 Co.upf
Te 127.60 Te.upf
Cl 35.45 Cl.upf
ATOMIC_POSITIONS angstrom
Co 0.000 0.000 0.000
Co 0.000 3.168 7.118
Co 1.736 0.000 7.118
Co 1.736 3.168 0.000
Te 0.000 0.000 8.853
Te 0.000 3.168 1.736
Te 1.736 0.000 1.736
Te 1.736 3.168 8.853
Cl 0.000 0.000 5.616
Cl 0.000 3.168 12.734
Cl 1.736 0.000 12.734
Cl 1.736 3.168 5.616
CELL_PARAMETERS angstrom
3.472 0.000 0.000
0.000 6.336 0.000
0.000 0.000 14.236
```



[2]
The following is a GGA-PBE calculation of BaTa2Sb after structural relaxation, from Alexandria via LeMat-Bulk. Values from VASP.

- formation energy without anion corrections (eV per atom) = 0.520
- volume (A^3/atom) = 26.94
- magnetization (Bohr magnetons per cell) = 0.000

Quantum ESPRESSO input file:
```
&SYSTEM
  ibrav = 0, nat = 8, ntyp = 3
/
ATOMIC_SPECIES
Ba 137.33 Ba.upf
Ta 180.95 Ta.upf
Sb 121.76 Sb.upf
ATOMIC_POSITIONS angstrom
Ba 0.000 0.000 0.000
Ba 5.089 1.730 0.000
Ta 1.620 0.000 3.995
Ta 2.357 1.730 2.125
Ta 6.709 1.730 3.995
Ta 7.447 0.000 2.125
Sb -0.556 1.730 3.060
Sb 4.533 0.000 3.060
CELL_PARAMETERS angstrom
10.178 0.000 0.000
0.000 3.460 0.000
-1.111 0.000 6.120
```



[3]
The following is a GGA-PBE calculation of RbLa2NpO8 after structural relaxation, from Alexandria via LeMat-Bulk. Values from VASP.

- formation energy without anion corrections (eV per atom) = -2.639
- volume (A^3/atom) = 16.11
- magnetization (Bohr magnetons per cell) = 0.000

Quantum ESPRESSO input file:
```
&SYSTEM
  ibrav = 0, nat = 12, ntyp = 4
/
ATOMIC_SPECIES
Rb 85.47 Rb.upf
La 138.91 La.upf
Np 237.00 Np.upf
O 16.00 O.upf
ATOMIC_POSITIONS angstrom
Rb 0.000 0.000 0.000
La 1.768 2.350 2.726
La 1.768 6.103 2.726
Np 0.000 4.227 0.000
O -0.324 2.658 4.181
O -0.324 5.796 4.181
O 1.395 0.000 3.382
O 1.697 4.227 1.219
O 1.838 4.227 4.234
O 2.140 0.000 2.071
O 3.859 2.658 1.272
O 3.859 5.796 1.272
CELL_PARAMETERS angstrom
4.195 0.000 0.000
0.000 8.453 0.000
-0.659 0.000 5.453
```



[4]
The following is a GGA-PBE calculation of CdIr4Pb after structural relaxation, from Alexandria via LeMat-Bulk. Values from VASP.

- volume (A^3/atom) = 18.15
- formation enthalpy at 0 K (eV/atom) = 0.369
- magnetization (Bohr magnetons per cell) = 0.003

Quantum ESPRESSO input file:
```
&SYSTEM
  ibrav = 0, nat = 6, ntyp = 3
/
ATOMIC_SPECIES
Cd 112.41 Cd.upf
Ir 192.22 Ir.upf
Pb 207.20 Pb.upf
ATOMIC_POSITIONS angstrom
Cd 0.000 0.000 0.000
Ir 4.738 2.841 2.841
Ir 2.841 4.738 2.841
Ir 2.841 2.841 4.738
Ir 4.738 4.738 4.738
Pb 1.895 1.895 1.895
CELL_PARAMETERS angstrom
0.000 3.790 3.790
3.790 0.000 3.790
3.790 3.790 0.000
```